(1)
17
Lattice="7.6582 0.0000 0.0000 -2.5527 7.2202 0.0000 -2.5527 -3.6101 6.2529" Properties=species:S:1:pos:R:3 comment="GGA-PBE HoZn12Ag4, relaxed" dos_at_fermi_per_ev_cell=7.480 e_tot_ev_per_atom=-1.63 formation_enthalpy_0k_ev_per_atom=0.211 pbc="T T T"
Zn -1.0790 0.7630 3.1408
Zn 0.0117 -1.5590 5.3432
Zn 5.0937 1.8133 1.3215
Zn -0.0117 3.8479 4.0217
Zn 2.5644 -0.2378 2.2311
Zn 2.5410 5.1691 0.9096
Zn -1.4737 4.8817 2.2311
Zn 1.4737 0.5086 5.3432
Zn 1.0790 3.1015 0.9096
Zn 4.0265 -1.2716 4.0217
Zn 3.6317 2.8471 3.1121
Zn -2.5410 1.7968 4.9314
Ag 3.8291 0.0000 0.0000
Ag -1.2764 -1.8050 3.1264
Ag 1.2764 1.8050 3.1264
Ag -1.2764 3.6101 0.0000
Ho 0.0000 0.0000 0.0000

=====

(2)
6
Lattice="-1.6813 -2.9781 0.9686 2.6360 -1.9394 -1.3873 5.8724 0.2152 10.8565" Properties=species:S:1:pos:R:3 comment="GGA-PBE Ho4ZnAg, relaxed" de_polymorph_mev_per_atom=0 dos_at_fermi_per_ev_cell=8.157 e_tot_ev_per_atom=-3.93 formation_enthalpy_0k_ev_per_atom=-0.193 pbc="T T T"
Ag 3.4135 -2.3511 5.2189
Zn 0.0000 0.0000 0.0000
Ho 2.0480 0.0750 3.7862
Ho 5.5110 -2.2741 9.0966
Ho 1.3161 -2.4281 1.3413
Ho 4.7790 -4.7772 6.6517

=====

(3)
18
Lattice="7.9888 0.2788 -2.9842 -4.0338 7.0525 -2.6067 -0.1541 -0.2788 8.5266" Properties=species:S:1:pos:R:3 comment="GGA-PBE Ho6ZnAg2, relaxed" dos_at_fermi_per_ev_cell=17.829 e_tot_ev_per_atom=-4.00 formation_enthalpy_0k_ev_per_atom=-0.170 pbc="T T T"
Ho 5.4217 1.9756 -2.5752
Ho 2.4171 1.9350 -0.5042
Ho 0.4691 1.6967 2.5568
Ho -1.7286 6.5793 2.4436
Ho 4.2844 5.3964 -3.1438
Ho 5.5296 0.4732 0.4922
Ho 3.3319 5.3558 0.3790
Ho 1.3839 5.1175 3.4399
Ho -1.6208 5.0770 5.5110
Ho -0.4834 1.6561 6.0796
Ho 4.0803 2.8174 2.5409
Ho -0.2794 4.2352 0.3949
Ag 2.3962 2.4605 4.9216
Ag 1.4048 4.5921 -1.9858
Ag 2.7608 0.0000 1.9530
Ag 5.0740 0.0000 3.5894
Zn -2.0939 3.3868 2.9600
Zn 0.0000 0.0000 0.0000